# 1
Here is Sr3Al2MoO9 after structural relaxation from Alexandria. Energies are from PBE with a Hubbard U.

a = 5.4854 Å, b = 5.4854 Å, c = 6.7528 Å
α = 90.00°, β = 90.00°, γ = 120.00°
Last column: nearest neighbours and their distance in Å.
Space group P-3m1 (No. 164)
Unique sites:
Sr1 0.0000 0.0000 0.0000  12 O 2.74-2.76
Sr2 0.3333 0.6667 0.6847  12 O 2.65-2.84
Al1 0.3333 0.6667 0.1467  6 O 1.87-2.02
Mo1 0.0000 0.0000 0.5000  6 O 1.95
O1 0.0000 0.5000 0.0000  2 Al 1.87
O2 0.1676 0.3352 0.3339  1 Mo 1.95, 1 Al 2.02

Properties
The total energy is -6.973 eV per atom.

# 2
Here is Sr4Al6MoO16 after structural relaxation from Alexandria. Energies are from PBE with a Hubbard U.

a = 9.5024 Å, b = 9.5024 Å, c = 9.6898 Å
α = 90.00°, β = 90.00°, γ = 90.00°
Last column: nearest neighbours and their distance in Å.
Space group I-4m2 (No. 119)
Unique sites:
Sr1 0.2413 0.2413 0.0000  8 O 2.62-2.85
Al1 0.0000 0.0000 0.0000  4 O 1.75
Al2 0.0000 0.0000 0.5000  4 O 1.76
Al3 0.0000 0.2482 0.7460  4 O 1.75-1.76
Mo1 0.0000 0.5000 0.2500  4 O 1.80
O1 0.0000 0.1537 0.9013  2 Al 1.75
O2 0.0000 0.1640 0.5847  2 Al 1.76
O3 0.0000 0.3460 0.1412  1 Mo 1.80
O4 0.1612 0.3388 0.7500  2 Al 1.76

Properties
The density of states at the Fermi level comes out at 0.000 states/eV per atom. The total energy is -7.179 eV per atom.

# 3
Here is TiAl2MoO after structural relaxation from Alexandria. Energies are from PBE with a Hubbard U.

a = 4.0892 Å, b = 4.0892 Å, c = 4.0668 Å
α = 90.00°, β = 90.00°, γ = 90.00°
Last column: nearest neighbours and their distance in Å.
Space group P4/mmm (No. 123)
Unique sites:
Ti1 0.0000 0.0000 0.0000  2 O 2.03
Al1 0.0000 0.5000 0.5000  2 O 2.04
Mo1 0.5000 0.5000 0.0000  8 Al 2.88, 4 Ti 2.89
O1 0.0000 0.0000 0.5000  2 Ti 2.03, 4 Al 2.04

Properties
The density of states at the Fermi level comes out at 0.384 states/eV per atom. The total energy is -6.084 eV per atom.

# 4
Here is Al2Tl2MoO6 after structural relaxation from Alexandria. Energies are from PBE with a Hubbard U.

a = 5.8597 Å, b = 5.8597 Å, c = 17.3491 Å
α = 90.00°, β = 90.00°, γ = 120.00°
Last column: nearest neighbours and their distance in Å.
Space group R-3m (No. 166, hexagonal axes)
Unique sites:
Al1 0.0000 0.0000 0.1048  3 O 1.72
Tl1 0.0000 0.0000 0.2961  9 O 2.85-3.10
Mo1 0.0000 0.0000 0.5000  6 O 2.07
O1 0.0034 0.5017 0.2373  1 Al 1.72

Properties
The density of states at the Fermi level comes out at 0.356 states/eV per atom. The total energy is -6.167 eV per atom.

# 5
Here is AlTl2MoO6 after structural relaxation from Alexandria. Energies are from PBE with a Hubbard U.

a = 5.7210 Å, b = 5.7210 Å, c = 27.9879 Å
α = 90.00°, β = 90.00°, γ = 120.00°
Last column: nearest neighbours and their distance in Å.
Space group R-3m (No. 166, hexagonal axes)
Unique sites:
Al1 0.0000 0.0000 0.0975  6 O 1.87-2.08
Tl1 0.0000 0.0000 0.2227  9 O 2.59-2.90
Tl2 0.0000 0.0000 0.3715  12 O 2.87-2.98
Mo1 0.0000 0.0000 0.0000  6 O 1.94
Mo2 0.0000 0.0000 0.5000  6 O 1.97
O1 0.0051 0.5025 0.2061  1 Al 1.87, 1 Mo 1.97
O2 0.0349 0.5174 0.6217  1 Mo 1.94, 1 Al 2.08

Properties
The density of states at the Fermi level comes out at 0.413 states/eV per atom. The total energy is -5.967 eV per atom.

# 6
Here is AlVMoO6 after structural relaxation from Alexandria. Energies are from PBE with a Hubbard U.

a = 4.5324 Å, b = 4.5324 Å, c = 9.1066 Å
α = 90.00°, β = 90.00°, γ = 90.00°
Last column: nearest neighbours and their distance in Å.
Space group P4_2nm (No. 102)
Unique sites:
Al1 0.0000 0.0000 0.0000  6 O 1.92-1.94
V1 0.0000 0.0000 0.3347  6 O 1.93-2.01
Mo1 0.0000 0.0000 0.6661  6 O 1.95-2.03
O1 0.1951 0.1951 0.1622  1 Al 1.94, 1 Mo 1.95, 1 V 2.01
O2 0.1995 0.1995 0.8397  1 V 1.93, 1 Al 1.94, 1 Mo 2.03
O3 0.2012 0.2012 0.4977  1 Al 1.92, 1 V 1.97, 1 Mo 2.00

Properties
The total energy is -7.473 eV per atom.

Please write out number 5 again, unchanged.
Here is AlTl2MoO6 after structural relaxation from Alexandria. Energies are from PBE with a Hubbard U.

a = 5.7210 Å, b = 5.7210 Å, c = 27.9879 Å
α = 90.00°, β = 90.00°, γ = 120.00°
Last column: nearest neighbours and their distance in Å.
Space group R-3m (No. 166, hexagonal axes)
Unique sites:
Al1 0.0000 0.0000 0.0975  6 O 1.87-2.08
Tl1 0.0000 0.0000 0.2227  9 O 2.59-2.90
Tl2 0.0000 0.0000 0.3715  12 O 2.87-2.98
Mo1 0.0000 0.0000 0.0000  6 O 1.94
Mo2 0.0000 0.0000 0.5000  6 O 1.97
O1 0.0051 0.5025 0.2061  1 Al 1.87, 1 Mo 1.97
O2 0.0349 0.5174 0.6217  1 Mo 1.94, 1 Al 2.08

Properties
The density of states at the Fermi level comes out at 0.413 states/eV per atom. The total energy is -5.967 eV per atom.

Number 6 is which compound? AlVMoO6

Which of these has the highest total energy? AlTl2MoO6